[1]
VASP calculation (PBEsol) on a relaxed KIn2W crystal.

Values from the calculation:
Total energy: -4.459 eV per atom
Energy relative to the elements: 767.4 meV/atom

a b c (Å): 2.918 4.678 8.280
angles (deg): 90.00 90.00 90.00
Space group Pmm2 (No. 25)
Symmetry-distinct sites (fractional):
K 0.000 0.000 0.000 [1 per cell]
In 0.000 0.000 0.405 [1 per cell]
In 0.500 0.500 0.683 [1 per cell]
W 0.500 0.500 0.354 [1 per cell]

[2]
VASP calculation (PBEsol) on a relaxed K2YIn crystal.

Values from the calculation:
Total energy: -2.603 eV per atom
Energy relative to the elements: 415.1 meV/atom

a b c (Å): 4.712 4.712 6.805
angles (deg): 90.00 90.00 90.00
Space group P4/mmm (No. 123)
Symmetry-distinct sites (fractional):
K 0.000 0.000 0.228 [2 per cell]
Y 0.500 0.500 0.500 [1 per cell]
In 0.500 0.500 0.000 [1 per cell]

[3]
VASP calculation (PBEsol) on a relaxed K2YIn crystal.

Values from the calculation:
Total energy: -2.693 eV per atom
Energy relative to the elements: 324.5 meV/atom

a b c (Å): 3.5889 3.5889 39.7320
angles (deg): 90.00 90.00 120.00
Space group R-3m (No. 166, hexagonal axes)
Symmetry-distinct sites (fractional):
K 0.0000 0.0000 0.2438 [6 per cell]
Y 0.0000 0.0000 0.0000 [3 per cell]
In 0.0000 0.0000 0.5000 [3 per cell]

[4]
VASP calculation (PBEsol) on a relaxed K2ZnIn crystal.

Values from the calculation:
Total energy: -1.651 eV per atom
Energy relative to the elements: 56.4 meV/atom

a b c (Å): 4.380 6.000 10.710
angles (deg): 90.00 90.00 90.00
Space group Imm2 (No. 44)
Symmetry-distinct sites (fractional):
K 0.000 0.000 0.000 [2 per cell]
K 0.000 0.500 0.192 [2 per cell]
Zn 0.000 0.500 0.774 [2 per cell]
In 0.000 0.000 0.406 [2 per cell]

[5]
VASP calculation (PBEsol) on a relaxed K2ZnIn crystal.

Values from the calculation:
Total energy: -1.694 eV per atom
Energy relative to the elements: 14.1 meV/atom

a b c (Å): 8.133 4.682 8.885
angles (deg): 90.00 107.25 90.00
Space group Cm (No. 8)
Symmetry-distinct sites (fractional):
K 0.000 0.000 0.000 [2 per cell]
K 0.178 0.000 0.549 [2 per cell]
Zn 0.423 0.000 0.274 [2 per cell]
In 0.256 0.500 0.275 [2 per cell]

[6]
VASP calculation (PBEsol) on a relaxed KZn2In crystal.

Values from the calculation:
Total energy: -1.813 eV per atom
Energy relative to the elements: 6.6 meV/atom

a b c (Å): 4.4606 4.4606 18.7671
angles (deg): 90.00 90.00 120.00
Space group R3m (No. 160, hexagonal axes)
Symmetry-distinct sites (fractional):
K 0.0000 0.0000 0.0000 [3 per cell]
Zn 0.0000 0.0000 0.4758 [3 per cell]
Zn 0.0000 0.0000 0.8063 [3 per cell]
In 0.0000 0.0000 0.1950 [3 per cell]

[7]
VASP calculation (PBEsol) on a relaxed KZn2In crystal.

Values from the calculation:
Total energy: -1.549 eV per atom
Energy relative to the elements: 270.6 meV/atom

a b c (Å): 4.912 4.912 3.974
angles (deg): 90.00 90.00 90.00
Space group P4/mmm (No. 123)
Symmetry-distinct sites (fractional):
K 0.000 0.000 0.000 [1 per cell]
Zn 0.000 0.500 0.500 [2 per cell]
In 0.500 0.500 0.000 [1 per cell]

[8]
VASP calculation (PBEsol) on a relaxed KZnIn2 crystal.

Values from the calculation:
Total energy: -2.128 eV per atom
Energy relative to the elements: 42.4 meV/atom

a b c (Å): 3.377 4.017 8.016
angles (deg): 90.00 90.00 90.00
Space group Pmm2 (No. 25)
Symmetry-distinct sites (fractional):
K 0.000 0.000 0.000 [1 per cell]
Zn 0.500 0.500 0.305 [1 per cell]
In 0.000 0.000 0.452 [1 per cell]
In 0.500 0.500 0.682 [1 per cell]